DFT (PBE) results for crystalline CoAsSe2N at its relaxed geometry.

Structure (POSCAR):
```
CoAsSe2N
1.0
-4.1023 1.4233 -2.6592
-0.0108 -4.4960 -2.3899
-2.0793 -1.3235 2.4993
As Co Se N
1 1 2 1
Direct
0.0000 0.0000 0.0000
0.5000 0.5000 0.5000
0.0000 0.5000 0.0000
0.5000 0.0000 0.0000
0.0000 0.0000 0.5000
```

Values from the calculation:
- Volume: 18.2 Å³ per atom
- SG: P4/mmm, No. 123
- Magnetization: 0.1 μB/cell

***

DFT (PBE) results for crystalline SrTe2Br at its relaxed geometry.

Structure (POSCAR):
```
SrTe2Br
1.0
-7.5641 -3.2473 3.0628
-3.6514 -6.1888 5.0505
-4.7903 -1.5019 7.2069
Sr Te Br
1 2 1
Direct
0.5000 0.5000 0.5000
0.8878 0.8878 0.8878
0.1122 0.1122 0.1122
0.0000 0.0000 0.0000
```

Values from the calculation:
- Volume: 49.8 Å³ per atom
- SG: R-3m, No. 166
- Magnetization: 0.0 μB/cell

***

no.,raw formation energy (eV/f.u.),energy (eV/atom)
1,6.21,-4.1673
2,-2.57,-3.0512